# 1
SrAlSeN2: optimized geometry, PBE.

Structure (POSCAR):
```
SrAlSeN2
1.0
4.1043 0.0000 0.0000
0.0000 4.1043 0.0000
0.0000 0.0000 5.1280
Sr Al Se N
1 1 1 2
Cartesian
0.0000 0.0000 0.0000 Sr
2.0521 2.0521 2.5640 Al
2.0521 2.0521 0.0000 Se
0.0000 2.0521 2.5640 N
2.0521 0.0000 2.5640 N
```

Space group ... No. 123
Total energy ... -5.176 eV per atom
Uncorrected formation energy ... -0.32 eV per formula unit
Total magnetic moment ... 0.59 μB per atom
Polymorph energy (0 for the lowest one) ... 0.00 eV per formula unit

***

# 2
SrAlSeN2: optimized geometry, PBE.

Structure (POSCAR):
```
SrAlSeN2
1.0
4.8102 0.0000 0.0000
0.0000 4.8102 0.0000
0.0000 0.0000 6.1744
Sr Al Se N
1 1 1 2
Cartesian
0.0000 0.0000 0.0000 Sr
2.4051 2.4051 3.0872 Al
0.0000 0.0000 3.0872 Se
0.0000 2.4051 0.0000 N
2.4051 0.0000 0.0000 N
```

Space group ... No. 123
Total energy ... -3.763 eV per atom
Uncorrected formation energy ... 6.74 eV per formula unit
Total magnetic moment ... 0.90 μB per atom
Polymorph energy (0 for the lowest one) ... 7.06 eV per formula unit

***

# 3
Sr2AlSeN: optimized geometry, PBE.

Structure (POSCAR):
```
Sr2AlSeN
1.0
5.7746 0.0000 0.0000
0.0000 5.7746 0.0000
0.0000 0.0000 4.8393
Sr Al Se N
2 1 1 1
Cartesian
0.0000 2.8873 0.0000 Sr
2.8873 0.0000 0.0000 Sr
0.0000 0.0000 2.4196 Al
0.0000 0.0000 0.0000 Se
2.8873 2.8873 2.4196 N
```

Space group ... No. 123
Total energy ... -3.354 eV per atom
Uncorrected formation energy ... 2.15 eV per formula unit
Total magnetic moment ... 0.01 μB per atom